First-principles (SCAN) data for a PBEsol-optimized structure of YGaPd2, as listed in the Alexandria database.

Computed properties:
Theoretical density in Mg/m³: 8.73
E_form in eV per atom: -0.9897
DFT total energy in eV per atom: -28.424
DOS at the Fermi energy in states/eV/cell: 8.66
Space-group type: Pnma, No. 62

Lattice parameters (Å, degrees): 7.271 7.060 5.508 90.00 90.00 90.00
Atoms (fractional coordinates):
Y 0.030 0.250 0.141
Y 0.470 0.750 0.641
Y 0.530 0.250 0.359
Y 0.970 0.750 0.859
Ga 0.116 0.750 0.359
Ga 0.384 0.250 0.859
Ga 0.616 0.750 0.141
Ga 0.884 0.250 0.641
Pd 0.182 0.052 0.590
Pd 0.182 0.448 0.590
Pd 0.318 0.552 0.090
Pd 0.318 0.948 0.090
Pd 0.682 0.052 0.910
Pd 0.682 0.448 0.910
Pd 0.818 0.552 0.410
Pd 0.818 0.948 0.410

---

First-principles (SCAN) data for a PBEsol-optimized structure of YGa2Pd, as listed in the Alexandria database.

Computed properties:
Theoretical density in Mg/m³: 7.79
E_form in eV per atom: -0.9380
DFT total energy in eV per atom: -24.266
DOS at the Fermi energy in states/eV/cell: 3.05
Space-group type: Cmcm, No. 63

Lattice parameters (Å, degrees): 5.471 5.471 6.504 90.00 90.00 132.85
Atoms (fractional coordinates):
Y 0.088 0.912 0.750
Y 0.912 0.088 0.250
Ga 0.373 0.627 0.554
Ga 0.373 0.627 0.946
Ga 0.627 0.373 0.054
Ga 0.627 0.373 0.446
Pd 0.201 0.799 0.250
Pd 0.799 0.201 0.750

---

First-principles (SCAN) data for a PBEsol-optimized structure of Zn3Ga4Pd7, as listed in the Alexandria database.

Computed properties:
Theoretical density in Mg/m³: 10.23
E_form in eV per atom: -0.6103
DFT total energy in eV per atom: -24.564
DOS at the Fermi energy in states/eV/cell: 3.17
Space-group type: R3, No. 146

Lattice parameters (Å, degrees): 6.839 6.839 6.839 113.75 113.75 113.75
Atoms (fractional coordinates):
Zn 0.126 0.306 0.568
Zn 0.306 0.568 0.126
Zn 0.568 0.126 0.306
Ga 0.042 0.782 0.209
Ga 0.209 0.042 0.782
Ga 0.654 0.654 0.654
Ga 0.782 0.209 0.042
Pd 0.051 0.641 0.803
Pd 0.170 0.170 0.170
Pd 0.281 0.708 0.536
Pd 0.536 0.281 0.708
Pd 0.641 0.803 0.051
Pd 0.708 0.536 0.281
Pd 0.803 0.051 0.641

---

First-principles (SCAN) data for a PBEsol-optimized structure of Zn2GaPd2, as listed in the Alexandria database.

Computed properties:
Theoretical density in Mg/m³: 9.16
E_form in eV per atom: -0.4273
DFT total energy in eV per atom: -22.212
DOS at the Fermi energy in states/eV/cell: 2.90
Space-group type: P4/mbm, No. 127

Lattice parameters (Å, degrees): 6.659 6.659 3.382 90.00 90.00 90.00
Atoms (fractional coordinates):
Zn 0.143 0.357 0.000
Zn 0.357 0.857 0.000
Zn 0.643 0.143 0.000
Zn 0.857 0.643 0.000
Ga 0.000 0.000 0.500
Ga 0.500 0.500 0.500
Pd 0.156 0.656 0.500
Pd 0.344 0.156 0.500
Pd 0.656 0.844 0.500
Pd 0.844 0.344 0.500

---

First-principles (SCAN) data for a PBEsol-optimized structure of ZrGaPd3, as listed in the Alexandria database.

Computed properties:
Theoretical density in Mg/m³: 7.07
E_form in eV per atom: 0.7089
DFT total energy in eV per atom: -28.365
DOS at the Fermi energy in states/eV/cell: 2.68
Space-group type: Pm-3m, No. 221

Lattice parameters (Å, degrees): 4.832 4.832 4.832 90.00 90.00 90.00
Atoms (fractional coordinates):
Zr 0.000 0.000 0.000
Ga 0.500 0.500 0.500
Pd 0.000 0.000 0.500
Pd 0.000 0.500 0.000
Pd 0.500 0.000 0.000

---

First-principles (SCAN) data for a PBEsol-optimized structure of Pm3Ga, as listed in the Alexandria database.

Computed properties:
Theoretical density in Mg/m³: 7.93
E_form in eV per atom: -0.3096
DFT total energy in eV per atom: -37.386
DOS at the Fermi energy in states/eV/cell: 4.50
Space-group type: Pm-3m, No. 221

Lattice parameters (Å, degrees): 4.728 4.728 4.728 90.00 90.00 90.00
Atoms (fractional coordinates):
Pm 0.000 0.000 0.500
Pm 0.000 0.500 0.000
Pm 0.500 0.000 0.000
Ga 0.500 0.500 0.500

---

First-principles (SCAN) data for a PBEsol-optimized structure of PmSmGa2, as listed in the Alexandria database.

Computed properties:
Theoretical density in Mg/m³: 7.75
E_form in eV per atom: -0.6655
DFT total energy in eV per atom: -30.946
DOS at the Fermi energy in states/eV/cell: 1.59
Space-group type: Fm-3m, No. 225

Lattice parameters (Å, degrees): 5.089 5.089 5.089 60.00 60.00 60.00
Atoms (fractional coordinates):
Pm 0.000 0.000 0.000
Sm 0.500 0.500 0.500
Ga 0.250 0.250 0.250
Ga 0.750 0.750 0.750

---

First-principles (SCAN) data for a PBEsol-optimized structure of Pr2Ga, as listed in the Alexandria database.

Computed properties:
Theoretical density in Mg/m³: 7.09
E_form in eV per atom: -0.4704
DFT total energy in eV per atom: -34.803
DOS at the Fermi energy in states/eV/cell: 10.01
Space-group type: Pnma, No. 62

Lattice parameters (Å, degrees): 6.639 5.159 9.613 90.00 90.00 90.00
Atoms (fractional coordinates):
Pr 0.006 0.250 0.195
Pr 0.190 0.250 0.584
Pr 0.310 0.750 0.084
Pr 0.494 0.750 0.695
Pr 0.506 0.250 0.305
Pr 0.690 0.250 0.916
Pr 0.810 0.750 0.416
Pr 0.994 0.750 0.805
Ga 0.216 0.250 0.903
Ga 0.284 0.750 0.403
Ga 0.716 0.250 0.597
Ga 0.784 0.750 0.097